Cs2K2Rh | PBE | relaxed

The space group is P4/mbm (No. 127) and the conventional cell measures 8.418, 8.418 and 8.274 Å, with angles of 90.00, 90.00 and 90.00 degrees. Symmetry generates all atoms from Cs at (0.211, 0.289, 0.000), K at (0.192, 0.692, 0.500) and Rh at (0.000, 0.000, 0.000).

As for the total magnetic moment: 0.0 μB/f.u. The value obtained for the energy above the lowest structure with this stoichiometry is 0.000 eV/atom. For the density of states at the Fermi level, the calculation gives 6.6 states/eV/cell. The energy relative to the elements is 518 meV/atom.

=====

PrBePdN | PBE | relaxed

The space group is P4/nmm (No. 129, origin choice 2) and the conventional cell measures 3.860, 3.860 and 8.089 Å, with angles of 90.00, 90.00 and 90.00 degrees. Symmetry generates all atoms from Pr at (0.250, 0.250, 0.159), Be at (0.250, 0.250, 0.662), Pd at (0.250, 0.750, 0.500) and N at (0.250, 0.250, 0.860).

As for the total magnetic moment: 0.0 μB/f.u. For the density of states at the Fermi level, the calculation gives 3.2 states/eV/cell. The calculation puts the raw total energy at -6.505 eV per atom.

=====

CrHg2Os | PBE | relaxed

The space group is Cmmm (No. 65) and the conventional cell measures 5.932, 8.063 and 2.982 Å, with angles of 90.00, 90.00 and 90.00 degrees. Symmetry generates all atoms from Cr at (0.000, 0.000, 0.000), Hg at (0.250, 0.250, 0.500) and Os at (0.000, 0.500, 0.000).

As for the total magnetic moment: 5.1 μB/f.u. The value obtained for the energy above the lowest structure with this stoichiometry is 0.455 eV/atom. For the density of states at the Fermi level, the calculation gives 6.2 states/eV/cell. The energy relative to the elements is 824 meV/atom.

=====

Na2CdHg3 | PBE | relaxed

The space group is Cmcm (No. 63) and the conventional cell measures 3.367, 26.310 and 7.573 Å, with angles of 90.00, 90.00 and 90.00 degrees. Symmetry generates all atoms from Na at (0.000, 0.019, 0.250), Na at (0.000, 0.163, 0.750), Cd at (0.000, 0.359, 0.750), Hg at (0.000, 0.237, 0.250) and Hg at (0.000, 0.429, 0.055).

As for the total magnetic moment: 0.0 μB/f.u. For the density of states at the Fermi level, the calculation gives 6.0 states/eV/cell. The energy relative to the elements is -142 meV/atom.

=====

Sb2OsPb | PBE | relaxed

The space group is P2/m (No. 10) and the conventional cell measures 3.188, 3.231 and 9.678 Å, with angles of 90.00, 98.64 and 90.00 degrees. Symmetry generates all atoms from Sb at (0.082, 0.000, 0.179), Os at (0.500, 0.500, 0.000) and Pb at (0.500, 0.500, 0.500).

As for the total magnetic moment: 0.0 μB/f.u. For the density of states at the Fermi level, the calculation gives 2.5 states/eV/cell. The calculation puts the raw total energy at -5.546 eV per atom.

=====

CaMg2Cd4 | PBE | relaxed

The space group is I4/mmm (No. 139) and the conventional cell measures 7.490, 7.490 and 5.871 Å, with angles of 90.00, 90.00 and 90.00 degrees. Symmetry generates all atoms from Ca at (0.000, 0.000, 0.000), Mg at (0.000, 0.500, 0.250) and Cd at (0.195, 0.195, 0.500).

As for the total magnetic moment: 0.0 μB/f.u. For the density of states at the Fermi level, the calculation gives 5.9 states/eV/cell. The energy relative to the elements is -221 meV/atom.

=====

Te2HIrO | PBE | relaxed

The space group is P4/mmm (No. 123) and the conventional cell measures 5.168, 5.168 and 3.263 Å, with angles of 90.00, 90.00 and 90.00 degrees. Symmetry generates all atoms from Te at (0.000, 0.500, 0.000), H at (0.000, 0.000, 0.500), Ir at (0.000, 0.000, 0.000) and O at (0.500, 0.500, 0.500).

As for the total magnetic moment: 0.0 μB/f.u. For the density of states at the Fermi level, the calculation gives 2.7 states/eV/cell. The calculation puts the raw total energy at -4.315 eV per atom.

=====

Ag2TeBr5 | PBE | relaxed

The space group is Cm (No. 8) and the conventional cell measures 13.813, 7.854 and 7.311 Å, with angles of 90.00, 121.49 and 90.00 degrees. Symmetry generates all atoms from Ag at (0.000, 0.000, 0.000), Ag at (0.238, 0.500, 0.805), Te at (0.150, 0.000, 0.676), Br at (0.081, 0.247, 0.854), Br at (0.228, 0.246, 0.531) and Br at (0.402, 0.500, 0.216).

As for the total magnetic moment: 1.0 μB/f.u. The value obtained for the energy above the lowest structure with this stoichiometry is 0.039 eV/atom. For the density of states at the Fermi level, the calculation gives 3.5 states/eV/cell.

=====

BaLiSb | PBE | relaxed

The space group is I4mm (No. 107) and the conventional cell measures 4.729, 4.729 and 9.299 Å, with angles of 90.00, 90.00 and 90.00 degrees. Symmetry generates all atoms from Ba at (0.000, 0.000, 0.000), Li at (0.000, 0.000, 0.336) and Sb at (0.000, 0.000, 0.637).

As for the total magnetic moment: 0.0 μB/f.u. The calculation puts the raw total energy at -3.242 eV per atom.

=====

PmThCu4 | PBE | relaxed

The space group is F-43m (No. 216) and the conventional cell measures 7.563, 7.563 and 7.563 Å, with angles of 90.00, 90.00 and 90.00 degrees. Symmetry generates all atoms from Pm at (0.000, 0.000, 0.000), Th at (0.250, 0.250, 0.750) and Cu at (0.125, 0.125, 0.375).

As for the total magnetic moment: 0.0 μB/f.u. The value obtained for the energy above the lowest structure with this stoichiometry is 0.116 eV/atom. For the density of states at the Fermi level, the calculation gives 26.3 states/eV/cell. The energy relative to the elements is -54 meV/atom.

=====

Y2TlCd | PBE | relaxed

The space group is Pmm2 (No. 25) and the conventional cell measures 3.659, 4.777 and 6.467 Å, with angles of 90.00, 90.00 and 90.00 degrees. Symmetry generates all atoms from Y at (0.000, 0.000, 0.000), Y at (0.500, 0.500, 0.315), Tl at (0.500, 0.500, 0.806) and Cd at (0.000, 0.000, 0.503).

As for the total magnetic moment: 0.0 μB/f.u. For the density of states at the Fermi level, the calculation gives 3.6 states/eV/cell. The energy relative to the elements is -191 meV/atom.

=====

Sm5Dy4Tl4 | PBE | relaxed

The space group is I4/m (No. 87) and the conventional cell measures 12.471, 12.471 and 5.102 Å, with angles of 90.00, 90.00 and 90.00 degrees. Symmetry generates all atoms from Sm at (0.000, 0.000, 0.000), Sm at (0.103, 0.810, 0.500), Dy at (0.094, 0.604, 0.000) and Tl at (0.101, 0.237, 0.000).

As for the total magnetic moment: 0.0 μB/f.u. For the density of states at the Fermi level, the calculation gives 25.2 states/eV/cell. The energy relative to the elements is -251 meV/atom.

=====

ZrZnCu | PBE | relaxed

The space group is F-43m (No. 216) and the conventional cell measures 6.236, 6.236 and 6.236 Å, with angles of 90.00, 90.00 and 90.00 degrees. Symmetry generates all atoms from Zr at (0.000, 0.000, 0.000), Zn at (0.250, 0.250, 0.250) and Cu at (0.250, 0.250, 0.750).

As for the total magnetic moment: 0.0 μB/f.u. For the density of states at the Fermi level, the calculation gives 9.6 states/eV/cell. The energy relative to the elements is 413 meV/atom.

=====

SrTa2Ag | PBE | relaxed

The space group is P2/m (No. 10) and the conventional cell measures 3.086, 5.656 and 5.151 Å, with angles of 90.00, 95.23 and 90.00 degrees. Symmetry generates all atoms from Sr at (0.000, 0.000, 0.000), Ta at (0.339, 0.500, 0.735) and Ag at (0.500, 0.000, 0.500).

As for the total magnetic moment: 0.0 μB/f.u. The value obtained for the energy above the lowest structure with this stoichiometry is 0.308 eV/atom. For the density of states at the Fermi level, the calculation gives 4.0 states/eV/cell. The energy relative to the elements is 730 meV/atom.

=====

AcTmTh2 | PBE | relaxed

The space group is P4/mmm (No. 123) and the conventional cell measures 4.204, 4.204 and 7.885 Å, with angles of 90.00, 90.00 and 90.00 degrees. Symmetry generates all atoms from Ac at (0.000, 0.000, 0.000), Tm at (0.000, 0.000, 0.500) and Th at (0.500, 0.500, 0.286).

As for the total magnetic moment: 0.0 μB/f.u. The value obtained for the energy above the lowest structure with this stoichiometry is 0.077 eV/atom. For the density of states at the Fermi level, the calculation gives 6.4 states/eV/cell. The energy relative to the elements is 211 meV/atom.

=====

LaCeDy4 | PBE | relaxed

The space group is C2/m (No. 12) and the conventional cell measures 11.466, 3.362 and 11.469 Å, with angles of 90.00, 118.03 and 90.00 degrees. Symmetry generates all atoms from La at (0.000, 0.000, 0.000), Ce at (0.000, 0.500, 0.500), Dy at (0.157, 0.500, 0.837) and Dy at (0.159, 0.000, 0.346).

As for the total magnetic moment: 1.3 μB/f.u. For the density of states at the Fermi level, the calculation gives 29.4 states/eV/cell. The energy relative to the elements is 221 meV/atom.

=====

K2BeSe | PBE | relaxed

The space group is I-4m2 (No. 119) and the conventional cell measures 4.837, 4.837 and 10.175 Å, with angles of 90.00, 90.00 and 90.00 degrees. Symmetry generates all atoms from K at (0.000, 0.000, 0.000), K at (0.000, 0.500, 0.250), Be at (0.000, 0.000, 0.500) and Se at (0.000, 0.500, 0.750).

As for the total magnetic moment: 0.0 μB/f.u. The value obtained for the energy above the lowest structure with this stoichiometry is 0.394 eV/atom. For the density of states at the Fermi level, the calculation gives 0.5 states/eV/cell.

=====

Cu3TcPd12 | PBE | relaxed

The space group is P4/mmm (No. 123) and the conventional cell measures 3.903, 3.903 and 15.544 Å, with angles of 90.00, 90.00 and 90.00 degrees. Symmetry generates all atoms from Cu at (0.000, 0.000, 0.000), Cu at (0.000, 0.000, 0.248), Tc at (0.000, 0.000, 0.500), Pd at (0.000, 0.500, 0.124), Pd at (0.000, 0.500, 0.375), Pd at (0.500, 0.500, 0.000), Pd at (0.500, 0.500, 0.249) and Pd at (0.500, 0.500, 0.500).

As for the total magnetic moment: 1.6 μB/f.u. For the density of states at the Fermi level, the calculation gives 20.5 states/eV/cell. The energy relative to the elements is -20 meV/atom.

=====

YMgTlI2 | PBE | relaxed

The space group is P4/mmm (No. 123) and the conventional cell measures 5.531, 5.531 and 5.850 Å, with angles of 90.00, 90.00 and 90.00 degrees. Symmetry generates all atoms from Y at (0.000, 0.000, 0.000), Mg at (0.500, 0.500, 0.500), Tl at (0.500, 0.500, 0.000) and I at (0.000, 0.500, 0.500).

As for the total magnetic moment: 0.0 μB/f.u. For the density of states at the Fermi level, the calculation gives 4.5 states/eV/cell. The calculation puts the raw total energy at -2.656 eV per atom.

=====

Li3Tb2PmS6 | PBE | relaxed

The space group is C2/m (No. 12) and the conventional cell measures 6.868, 11.902 and 6.594 Å, with angles of 90.00, 110.24 and 90.00 degrees. Symmetry generates all atoms from Li at (0.000, 0.000, 0.000), Li at (0.000, 0.331, 0.000), Tb at (0.000, 0.166, 0.500), Pm at (0.000, 0.500, 0.500), S at (0.245, 0.000, 0.753) and S at (0.247, 0.170, 0.248).

As for the total magnetic moment: 0.0 μB/f.u. For the density of states at the Fermi level, the calculation gives 0.0 states/eV/cell. The calculation puts the raw total energy at -5.537 eV per atom.